[1]
The following is a GGA-PBE calculation of a relaxed ZnFe2Ir9 crystal, from the Alexandria database.

The calculation puts the total energy at -98.08 eV per cell.

It has space group P4/mmm (No. 123), with a = 3.840 Å, b = 3.840 Å, c = 11.523 Å, α = 90.00°, β = 90.00° and γ = 90.00°. Symmetry generates all atoms from Zn at (0.000, 0.000, 0.000), Fe at (0.000, 0.000, 0.331), Ir at (0.000, 0.500, 0.172), Ir at (0.000, 0.500, 0.500), Ir at (0.500, 0.500, 0.000) and Ir at (0.500, 0.500, 0.335).



[2]
The following is a GGA-PBE calculation of a relaxed KIrBr6 crystal, from the Alexandria database.

As for the energy above the most stable polymorph in this dataset: 9 meV per atom. The calculation puts the total energy at -23.99 eV per cell. Its raw formation energy is -499 meV per atom.

It has space group P-1 (No. 2), with a = 6.985 Å, b = 7.095 Å, c = 7.277 Å, α = 62.82°, β = 63.46° and γ = 61.18°. Symmetry generates all atoms from K at (0.000, 0.000, 0.000), Ir at (0.500, 0.500, 0.500), Br at (0.107, 0.655, 0.728), Br at (0.334, 0.489, 0.268) and Br at (0.487, 0.893, 0.276).



[3]
The following is a GGA-PBE calculation of a relaxed KSi2Sb2 crystal, from the Alexandria database.

As for the energy above the most stable polymorph in this dataset: 0 meV per atom. The calculation puts the total energy at -39.28 eV per cell. Its raw formation energy is 110 meV per atom.

It has space group I4/mmm (No. 139), with a = 5.307 Å, b = 5.307 Å, c = 9.225 Å, α = 90.00°, β = 90.00° and γ = 90.00°. Symmetry generates all atoms from K at (0.000, 0.000, 0.000), Si at (0.000, 0.000, 0.363) and Sb at (0.000, 0.500, 0.250).



[4]
The following is a GGA-PBE calculation of a relaxed Mg6NiW crystal, from the Alexandria database.

As for the energy above the most stable polymorph in this dataset: 0 meV per atom. The calculation puts the total energy at -52.40 eV per cell.

It has space group Amm2 (No. 38), with a = 4.701 Å, b = 5.848 Å, c = 10.839 Å, α = 90.00°, β = 90.00° and γ = 90.00°. Symmetry generates all atoms from Mg at (0.000, 0.000, 0.000), Mg at (0.000, 0.238, 0.259), Mg at (0.500, 0.000, 0.845), Mg at (0.500, 0.244, 0.597), Ni at (0.000, 0.000, 0.476) and W at (0.500, 0.000, 0.364).



[5]
The following is a GGA-PBE calculation of a relaxed CdHgO2F crystal, from the Alexandria database.

The calculation puts the total energy at -14.31 eV per cell. Its raw formation energy is -261 meV per atom.

It has space group P4/mmm (No. 123), with a = 4.219 Å, b = 4.219 Å, c = 4.458 Å, α = 90.00°, β = 90.00° and γ = 90.00°. Symmetry generates all atoms from Cd at (0.000, 0.000, 0.000), Hg at (0.500, 0.500, 0.500), O at (0.000, 0.500, 0.500) and F at (0.500, 0.500, 0.000).



[6]
The following is a GGA-PBE calculation of a relaxed ZnCrGeRu crystal, from the Alexandria database.

The calculation puts the total energy at -100.17 eV per cell.

It has space group F-43m (No. 216), with a = 6.049 Å, b = 6.049 Å, c = 6.049 Å, α = 90.00°, β = 90.00° and γ = 90.00°. Symmetry generates all atoms from Zn at (0.000, 0.000, 0.000), Cr at (0.250, 0.250, 0.750), Ge at (0.000, 0.000, 0.500) and Ru at (0.250, 0.250, 0.250).



Values of M_tot, in order: 6.05; 1.74; 0.00; 0.00; 0.00; 11.74, all in Bohr magnetons per cell.